Entry from Alexandria: an optimized crystal structure of Ba2LiTmCu3O7 (PBE-GGA).

abc: 3.836 11.752 4.147
angles: 90.00 91.79 90.00
Sites, in units of the cell vectors:
Ba (0.000, 0.177, 0.000)
Ba (0.000, 0.823, 0.000)
Li (0.663, 0.500, 0.305)
Tm (0.076, 0.500, 0.880)
Cu (0.504, 0.000, 0.497)
Cu (0.504, 0.333, 0.498)
Cu (0.504, 0.667, 0.498)
O (0.007, 0.381, 0.470)
O (0.007, 0.619, 0.470)
O (0.503, 0.160, 0.497)
O (0.503, 0.840, 0.497)
O (0.505, 0.000, 0.997)
O (0.529, 0.382, 0.982)
O (0.529, 0.618, 0.982)

Results
* relative energy among the computed polymorphs: 68.9 meV per atom
* uncorrected energy: -80.93 eV/cell
* DOS at the Fermi energy: 5.25 states/eV/cell
* total magnetic moment: 0.0 μB per formula unit
* raw formation energy: -1.693 eV/atom